(1)
AlCdPb2 | PBE | relaxed

## Properties
Its total energy is -11.3 eV/cell.

Cell lengths 3.3602, 3.3602, 10.5449 Å; angles 90.00, 90.00, 115.14 degrees
Positions (direct):
1 Pb 0.0000 0.0000 0.0112
2 Pb 0.0000 0.0000 0.4888
3 Al 0.5000 0.5000 0.2500
4 Cd 0.5000 0.5000 0.7500

(2)
HoAsIr | PBE | relaxed

## Properties
Its total energy is -83.1 eV/cell.

Cell lengths 4.3487, 10.1681, 5.6948 Å; angles 85.85, 112.45, 90.00 degrees
Positions (direct):
1 Ho 0.0875 0.3654 0.1750
2 Ho 0.3608 0.1351 0.7216
3 Ho 0.6392 0.8649 0.2784
4 Ho 0.9125 0.6346 0.8250
5 As 0.2191 0.6365 0.4381
6 As 0.9045 0.9281 0.8090
7 As 0.7809 0.3635 0.5619
8 As 0.0955 0.0719 0.1910
9 Ir 0.3893 0.4272 0.7786
10 Ir 0.6325 0.1733 0.2649
11 Ir 0.6107 0.5728 0.2214
12 Ir 0.3675 0.8267 0.7351

(3)
RbTiIO2 | PBE | relaxed

## Properties
For the energy relative to the elements, uncorrected, the calculation gives -1414.5 meV/atom.

Cell lengths 4.2245, 4.2245, 5.6422 Å; angles 90.00, 90.00, 90.00 degrees
Positions (direct):
1 I 0.0000 0.0000 0.5000
2 O 0.0000 0.5000 0.0000
3 O 0.5000 0.0000 0.0000
4 Rb 0.5000 0.5000 0.5000
5 Ti 0.0000 0.0000 0.0000

(4)
Na3Pd3PbO8 | PBE | relaxed

## Properties
For the energy relative to the elements, uncorrected, the calculation gives -827.2 meV/atom.

Cell lengths 6.3263, 6.6879, 6.3272 Å; angles 115.33, 90.00, 118.23 degrees
Positions (direct):
1 Na 0.0000 0.0000 0.0000
2 Na 0.0000 0.5000 0.0000
3 Na 0.5000 0.5000 0.0000
4 Pd 0.5000 0.0000 0.5000
5 Pd 0.5000 0.5000 0.5000
6 Pd 0.0000 0.5000 0.5000
7 Pb 0.0000 0.0000 0.5000
8 O 0.2203 0.4405 0.2665
9 O 0.7797 0.5595 0.7335
10 O 0.7772 0.5544 0.2957
11 O 0.2228 0.4456 0.7043
12 O 0.7736 0.0929 0.3294
13 O 0.2264 0.9071 0.6706
14 O 0.3194 0.0929 0.3294
15 O 0.6806 0.9071 0.6706

(5)
AgPdPb2 | PBE | relaxed

## Properties
Its total energy is -30.0 eV/cell.

Cell lengths 7.9449, 7.9449, 6.4338 Å; angles 51.87, 51.87, 90.00 degrees
Positions (direct):
1 Pb 0.6027 0.1250 0.2500
2 Pb 0.1473 0.6250 0.2500
3 Pb 0.3750 0.3973 0.7500
4 Pb 0.8750 0.8527 0.7500
5 Pd 0.5000 0.5000 0.0000
6 Pd 0.2500 0.7500 0.5000
7 Ag 0.0000 0.0000 0.0000
8 Ag 0.7500 0.2500 0.5000

(6)
CaZrW2C | PBE | relaxed

## Properties
Its total energy is -34.6 eV/cell.

Cell lengths 5.0591, 4.4106, 5.0591 Å; angles 90.00, 90.00, 90.00 degrees
Each line ends with the local moment (μB).
Positions (direct):
1 C 0.0000 0.5000 0.0000  -0.02
2 Ca 0.5000 0.5000 0.5000  0.05
3 Zr 0.0000 0.0000 0.0000  -0.05
4 W 0.0000 0.0000 0.5000  0.54
5 W 0.5000 0.0000 0.0000  0.75

(7)
PrSn2Rh4 | PBE | relaxed

## Properties
Its total energy is -91.6 eV/cell.

Cell lengths 4.1344, 8.0647, 8.0647 Å; angles 90.00, 90.00, 90.00 degrees
Positions (direct):
1 Pr 0.5000 0.0000 0.0000
2 Pr 0.0000 0.5000 0.5000
3 Sn 0.0000 0.2234 0.7766
4 Sn 0.0000 0.7766 0.2234
5 Sn 0.5000 0.7234 0.7234
6 Sn 0.5000 0.2766 0.2766
7 Rh 0.0000 0.0809 0.3530
8 Rh 0.0000 0.9191 0.6470
9 Rh 0.5000 0.1470 0.5809
10 Rh 0.5000 0.8530 0.4191
11 Rh 0.5000 0.4191 0.8530
12 Rh 0.5000 0.5809 0.1470
13 Rh 0.0000 0.3530 0.0809
14 Rh 0.0000 0.6470 0.9191

(8)
TaCl | PBE | relaxed

## Properties
For the energy relative to the elements, uncorrected, the calculation gives 1058.2 meV/atom.

Cell lengths 5.4846, 5.4846, 5.4846 Å; angles 90.00, 90.00, 90.00 degrees
Positions (direct):
1 Ta 0.0000 0.0000 0.0000
2 Ta 0.0000 0.5000 0.5000
3 Ta 0.5000 0.0000 0.5000
4 Ta 0.5000 0.5000 0.0000
5 Cl 0.2500 0.2500 0.2500
6 Cl 0.2500 0.7500 0.7500
7 Cl 0.7500 0.2500 0.7500
8 Cl 0.7500 0.7500 0.2500

(9)
BeCoPdRh | PBE | relaxed

## Properties
Its total energy is -24.0 eV/cell.

Cell lengths 4.1200, 4.1200, 4.1200 Å; angles 60.00, 60.00, 60.00 degrees
Each line ends with the local moment (μB).
Positions (direct):
1 Co 0.2500 0.2500 0.2500  2.03
2 Rh 0.5000 0.5000 0.5000  0.70
3 Pd 0.0000 0.0000 0.0000  0.21
4 Be 0.7500 0.7500 0.7500  0.00

(10)
ZnCoRh | PBE | relaxed

## Properties
Its total energy is -16.0 eV/cell.

Cell lengths 5.2639, 5.2639, 5.2639 Å; angles 148.76, 148.76, 44.76 degrees
Each line ends with the local moment (μB).
Positions (direct):
1 Co 0.9997 0.9997 0.0000  1.73
2 Rh 0.3385 0.3385 0.0000  0.64
3 Zn 0.6618 0.6618 0.0000  -0.03

(11)
Te2INF | PBE | relaxed

## Properties
For the energy relative to the elements, uncorrected, the calculation gives 605.4 meV/atom.

Cell lengths 4.7075, 4.7075, 4.9034 Å; angles 90.00, 90.00, 90.00 degrees
Positions (direct):
1 I 0.0000 0.0000 0.5000
2 N 0.0000 0.0000 0.0000
3 Te 0.0000 0.5000 0.0000
4 Te 0.5000 0.0000 0.0000
5 F 0.5000 0.5000 0.5000

(12)
Ba2LaBr | PBE | relaxed

## Properties
For the energy relative to the elements, uncorrected, the calculation gives -446.7 meV/atom.

Cell lengths 5.7516, 4.3711, 7.0467 Å; angles 72.10, 90.00, 90.00 degrees
Positions (direct):
1 Ba 0.0000 0.9740 0.9275
2 Ba 0.5000 0.2777 0.3181
3 Br 0.0000 0.6863 0.5023
4 La 0.5000 0.5620 0.7521